GaTc: relaxed, PBE.

Cell and atoms, written as extended XYZ:
```
8
Lattice="5.045 0.000 0.000 0.000 5.045 0.000 0.000 0.000 5.026" Properties=species:S:1:pos:R:3 pbc="T T T"
Ga 0.996 0.996 0.000
Ga 1.526 3.519 2.513
Ga 3.519 1.526 2.513
Ga 4.049 4.049 0.000
Tc 0.979 0.979 2.513
Tc 1.543 3.502 0.000
Tc 3.502 1.543 0.000
Tc 4.066 4.066 2.513
```

E_tot	-6.2869	eV/atom
symmetry	P4_2/mnm
Fermi-level density of states	1.10	states/eV per atom